# 1
The following is a GGA-PBE calculation of an optimized crystal structure of InSn2Au, from Alexandria.

The structure in POSCAR format:
```
InSn2Au
1.0
3.345 0.000 0.000
1.672 2.897 0.000
1.672 0.966 10.703
Au Sn In
1 2 1
Direct
0.500 0.500 0.500
0.098 0.098 0.706
0.902 0.902 0.294
0.000 0.000 0.000
```

## Properties
* space-group type: No. 166

=====

# 2
The following is a GGA-PBE calculation of an optimized crystal structure of InSnAu14, from Alexandria.

The structure in POSCAR format:
```
InSnAu14
1.0
5.898 0.120 0.000
-2.697 5.247 0.000
0.000 0.000 9.575
In Sn Au
1 1 14
Direct
0.165 0.835 0.000
0.665 0.335 0.000
0.661 0.339 0.500
0.160 0.840 0.500
0.167 0.332 0.000
0.161 0.344 0.500
0.668 0.833 0.000
0.656 0.839 0.500
0.336 0.163 0.746
0.336 0.163 0.254
0.837 0.664 0.746
0.837 0.664 0.254
0.838 0.162 0.747
0.838 0.162 0.253
0.337 0.663 0.750
0.337 0.663 0.250
```

## Properties
* space-group type: No. 38

=====

# 3
The following is a GGA-PBE calculation of an optimized crystal structure of In4SnAu5, from Alexandria.

The structure in POSCAR format:
```
In4SnAu5
1.0
5.118 0.747 2.019
4.037 7.739 1.360
0.769 0.382 6.484
In Sn Au
4 1 5
Direct
0.781 0.699 0.606
0.494 0.397 0.696
0.533 0.657 0.279
0.213 0.257 0.245
0.017 0.016 0.072
0.193 0.602 0.116
0.125 0.991 0.591
0.544 0.100 0.550
0.906 0.378 0.890
0.682 0.903 0.955
```

## Properties
* space-group type: No. 1

=====

# 4
The following is a GGA-PBE calculation of an optimized crystal structure of In2SnAu6, from Alexandria.

The structure in POSCAR format:
```
In2SnAu6
1.0
-2.992 -1.244 3.848
-1.950 -8.225 -3.923
6.964 1.235 6.068
In Sn Au
4 2 12
Direct
0.500 0.667 0.833
0.000 0.167 0.333
0.500 0.333 0.167
0.000 0.833 0.667
0.250 0.250 0.750
0.750 0.750 0.250
0.499 0.667 0.501
0.001 0.499 0.333
0.501 0.333 0.499
0.999 0.501 0.667
0.249 0.917 0.417
0.251 0.583 0.083
0.751 0.083 0.583
0.749 0.417 0.917
0.001 0.833 0.999
0.499 0.001 0.167
0.999 0.167 0.001
0.501 0.999 0.833
```

## Properties
* space-group type: No. 15

=====

# 5
The following is a GGA-PBE calculation of an optimized crystal structure of InSn2Au2, from Alexandria.

The structure in POSCAR format:
```
InSn2Au2
1.0
4.720 0.000 0.000
0.000 4.720 0.000
2.360 2.360 5.855
Au Sn In
2 2 1
Direct
0.384 0.384 0.233
0.616 0.616 0.767
0.750 0.250 0.500
0.250 0.750 0.500
0.000 0.000 0.000
```

## Properties
* space-group type: No. 139

=====

# 6
The following is a GGA-PBE calculation of an optimized crystal structure of InSn3Au3, from Alexandria.

The structure in POSCAR format:
```
InSn3Au3
1.0
-0.478 -6.813 3.574
6.337 -2.089 3.860
-0.599 0.399 7.675
In Sn Au
2 6 6
Direct
0.336 0.336 0.336
0.664 0.664 0.664
0.806 0.383 0.105
0.105 0.806 0.383
0.383 0.105 0.806
0.617 0.895 0.194
0.895 0.194 0.617
0.194 0.617 0.895
0.547 0.290 0.930
0.290 0.930 0.547
0.930 0.547 0.290
0.070 0.453 0.710
0.710 0.070 0.453
0.453 0.710 0.070
```

## Properties
* space-group type: No. 148

=====

# 7
The following is a GGA-PBE calculation of an optimized crystal structure of In5Sn3Au12, from Alexandria.

The structure in POSCAR format:
```
In5Sn3Au12
1.0
14.016 0.000 0.000
-4.672 13.215 0.000
-4.672 -6.607 11.444
Au Sn In
48 12 20
Direct
0.730 0.144 0.069
0.339 0.569 0.425
0.931 0.356 0.270
0.569 0.230 0.144
0.586 0.730 0.661
0.931 0.575 0.161
0.339 0.770 0.414
0.075 0.914 0.144
0.575 0.931 0.661
0.730 0.586 0.161
0.770 0.431 0.356
0.839 0.925 0.069
0.144 0.730 0.569
0.356 0.425 0.086
0.086 0.925 0.356
0.414 0.144 0.575
0.086 0.161 0.230
0.431 0.661 0.075
0.839 0.914 0.270
0.144 0.414 0.075
0.356 0.931 0.770
0.575 0.644 0.414
0.925 0.839 0.569
0.770 0.339 0.914
0.425 0.356 0.586
0.075 0.161 0.431
0.230 0.661 0.086
0.161 0.086 0.730
0.644 0.069 0.230
0.856 0.586 0.925
0.569 0.339 0.925
0.586 0.856 0.425
0.914 0.839 0.770
0.914 0.075 0.644
0.856 0.270 0.431
0.161 0.075 0.931
0.644 0.575 0.914
0.425 0.069 0.339
0.270 0.414 0.839
0.230 0.569 0.644
0.925 0.086 0.856
0.661 0.230 0.586
0.431 0.770 0.856
0.069 0.425 0.839
0.414 0.270 0.339
0.069 0.644 0.730
0.661 0.431 0.575
0.270 0.856 0.931
0.750 0.375 0.125
0.875 0.750 0.125
0.375 0.750 0.625
0.250 0.125 0.375
0.875 0.125 0.250
0.375 0.625 0.250
0.625 0.375 0.750
0.125 0.875 0.750
0.750 0.875 0.625
0.625 0.250 0.375
0.125 0.250 0.875
0.250 0.625 0.875
0.125 0.375 0.250
0.000 0.500 0.000
0.000 0.000 0.000
0.375 0.250 0.125
0.500 0.000 0.500
0.500 0.500 0.000
0.125 0.750 0.375
0.750 0.125 0.875
0.750 0.625 0.375
0.375 0.125 0.750
0.625 0.875 0.250
0.500 0.500 0.500
0.500 0.000 0.000
0.000 0.000 0.500
0.250 0.375 0.625
0.250 0.875 0.125
0.000 0.500 0.500
0.875 0.250 0.625
0.625 0.750 0.875
0.875 0.625 0.750
```

## Properties
* space-group type: No. 230

=====

# 8
The following is a GGA-PBE calculation of an optimized crystal structure of In2Sn3Au8, from Alexandria.

The structure in POSCAR format:
```
In2Sn3Au8
1.0
5.611 0.000 0.000
2.805 4.859 0.000
2.805 1.620 10.569
In Sn Au
2 3 8
Direct
0.640 0.640 0.079
0.360 0.360 0.921
0.000 0.000 0.000
0.816 0.816 0.553
0.184 0.184 0.447
0.725 0.725 0.825
0.275 0.275 0.175
0.231 0.733 0.303
0.733 0.231 0.303
0.733 0.733 0.303
0.267 0.769 0.697
0.769 0.267 0.697
0.267 0.267 0.697
```

## Properties
* space-group type: No. 166

=====

# 9
The following is a GGA-PBE calculation of an optimized crystal structure of InSnAu3, from Alexandria.

The structure in POSCAR format:
```
InSnAu3
1.0
3.847 0.000 0.000
0.002 5.763 0.000
0.000 0.000 9.862
In Sn Au
2 2 6
Direct
0.750 0.750 0.456
0.250 0.250 0.544
0.750 0.250 0.094
0.250 0.750 0.906
0.750 0.750 0.121
0.250 0.250 0.879
0.750 0.997 0.704
0.750 0.503 0.704
0.250 0.003 0.296
0.250 0.497 0.296
```

## Properties
* space-group type: No. 59

=====

# 10
The following is a GGA-PBE calculation of an optimized crystal structure of In3SnAu4, from Alexandria.

The structure in POSCAR format:
```
In3SnAu4
1.0
-0.411 4.029 3.820
3.192 -4.908 5.520
8.805 3.107 -2.329
In Sn Au
6 2 8
Direct
0.611 0.803 0.000
0.112 0.659 0.244
0.612 0.341 0.256
0.111 0.197 0.500
0.612 0.341 0.744
0.112 0.659 0.756
0.909 0.161 0.000
0.409 0.839 0.500
0.117 0.853 0.000
0.423 0.165 0.000
0.116 0.312 0.227
0.616 0.688 0.273
0.923 0.835 0.500
0.617 0.147 0.500
0.616 0.688 0.727
0.116 0.312 0.773
```

## Properties
* space-group type: No. 31

=====

# 11
The following is a GGA-PBE calculation of an optimized crystal structure of InSn2Au, from Alexandria.

The structure in POSCAR format:
```
InSn2Au
1.0
4.485 -0.012 0.000
-2.252 5.996 0.000
0.000 0.000 7.652
In Sn Au
2 4 2
Direct
0.951 0.895 0.250
0.049 0.105 0.750
0.366 0.724 0.526
0.634 0.276 0.474
0.366 0.724 0.974
0.634 0.276 0.026
0.812 0.616 0.750
0.188 0.384 0.250
```

## Properties
* space-group type: No. 11

=====

# 12
The following is a GGA-PBE calculation of an optimized crystal structure of In2Sn2Au, from Alexandria.

The structure in POSCAR format:
```
In2Sn2Au
1.0
7.296 0.000 0.000
0.000 7.296 0.000
0.000 0.000 5.123
Au Sn In
2 4 4
Direct
0.000 0.000 0.000
0.500 0.500 0.000
0.353 0.853 0.000
0.853 0.647 0.000
0.647 0.147 0.000
0.147 0.353 0.000
0.165 0.665 0.500
0.665 0.835 0.500
0.835 0.335 0.500
0.335 0.165 0.500
```

## Properties
* space-group type: No. 127

=====

| no. | ΔE_f (eV/atom) | theoretical density (Mg/m³) | uncorrected energy (eV/atom) |
| --- | --- | --- | --- |
| 1 | 0.01 | 8.80 | -3.495 |
| 2 | 0.00 | 16.59 | -3.294 |
| 3 | -0.12 | 11.46 | -3.250 |
| 4 | -0.11 | 13.91 | -3.345 |
| 5 | -0.02 | 9.50 | -3.484 |
| 6 | -0.11 | 9.79 | -3.620 |
| 7 | 0.02 | 10.32 | -3.232 |
| 8 | 0.00 | 12.46 | -3.366 |
| 9 | -0.14 | 12.52 | -3.456 |
| 10 | -0.09 | 9.64 | -3.259 |
| 11 | -0.09 | 8.87 | -3.597 |
| 12 | 0.00 | 8.09 | -3.349 |